First-principles (GGA-PBE) data for a relaxed LaHf2InRe crystal, as listed in the Alexandria database.

Unit cell a=5.1218 b=5.1218 c=5.3919 alpha=90.00 beta=90.00 gamma=90.00
Closest atoms and distances in Å follow each position.
Space group P4/mmm (No. 123)
One atom of each set of equivalent atoms:
La  0.0000  0.0000  0.0000 [1 per cell]  2 Re 2.70
Hf  0.0000  0.5000  0.5000 [2 per cell]  2 Re 2.56
In  0.5000  0.5000  0.0000 [1 per cell]  4 La 3.62, 8 Hf 3.72
Re  0.0000  0.0000  0.5000 [1 per cell]  4 Hf 2.56, 2 La 2.70

Values from the calculation:
Final energy ... -7.59 eV/atom
Size of the total moment ... 0.00 Bohr magnetons per cell
Energy of formation from the pure elements ... 412.0 meV/atom
DOS at the Fermi energy ... 6.20 states/eV per cell
V ... 28.29 A^3/atom